1.
# PBE PmHgPt, relaxed
# Total energy: -4.5114 eV per atom
# Total magnetization: 0.0 μB per cell
# Energy of formation: -0.814 eV per atom
data_PmHgPt
_chemical_formula_sum 'Pm4 Hg4 Pt4'
_cell_length_a 10.4706
_cell_length_b 4.0762
_cell_length_c 7.7136
_cell_angle_alpha 90.00
_cell_angle_beta 121.19
_cell_angle_gamma 90.00
_space_group_name_H-M_alt 'C 1 2/m 1'
_space_group_IT_number 12
loop_
_space_group_symop_operation_xyz
'x,y,z'
'-x,-y,-z'
'-x,y,-z'
'x,-y,z'
'x+1/2,y+1/2,z'
'-x+1/2,-y+1/2,-z'
'-x+1/2,y+1/2,-z'
'x+1/2,-y+1/2,z'
loop_
_atom_site_label
_atom_site_fract_x
_atom_site_fract_y
_atom_site_fract_z
Pm1 0.0615 0.0000 0.3197
Hg1 0.1657 0.5000 0.0701
Pt1 0.1452 0.5000 0.6564

2.
# PBE DyYInAu, relaxed
# Total energy: -4.9489 eV per atom
# Total magnetization: 0.0 μB per cell
# Energy of formation: -0.678 eV per atom
data_DyYInAu
_chemical_formula_sum 'Dy1 Y1 In1 Au1'
_cell_length_a 3.6135
_cell_length_b 3.6135
_cell_length_c 7.6879
_cell_angle_alpha 90.00
_cell_angle_beta 90.00
_cell_angle_gamma 90.00
_space_group_name_H-M_alt 'P 4 m m'
_space_group_IT_number 99
loop_
_space_group_symop_operation_xyz
'x,y,z'
'-y,x,z'
'-x,-y,z'
'y,-x,z'
'-x,y,z'
'y,x,z'
'x,-y,z'
'-y,-x,z'
loop_
_atom_site_label
_atom_site_fract_x
_atom_site_fract_y
_atom_site_fract_z
Dy1 0.0000 0.0000 0.0000
Y1 0.0000 0.0000 0.5369
In1 0.5000 0.5000 0.2690
Au1 0.5000 0.5000 0.7723

3.
# PBE LiScTc2, relaxed
# Total energy: -7.0366 eV per atom
# Total magnetization: 0.0 μB per cell
# Energy of formation: 0.208 eV per atom
data_LiScTc2
_chemical_formula_sum 'Li3 Sc3 Tc6'
_cell_length_a 2.8457
_cell_length_b 2.8457
_cell_length_c 28.6601
_cell_angle_alpha 90.00
_cell_angle_beta 90.00
_cell_angle_gamma 120.00
_space_group_name_H-M_alt 'R 3 m'
_space_group_IT_number 160
_space_group_name_Hall 'R 3 -2"'
loop_
_atom_site_label
_atom_site_fract_x
_atom_site_fract_y
_atom_site_fract_z
Li1 0.0000 0.0000 0.0000
Sc1 0.0000 0.0000 0.7628
Tc1 0.0000 0.0000 0.2519
Tc2 0.0000 0.0000 0.5143

4.
# PBE CsCaTmF6, relaxed
# Formation energy from raw total energies: -34.05 eV per formula unit
# Total energy: -5.8444 eV per atom
# Total magnetization: 0.4 μB per cell
data_CsCaTmF6
_chemical_formula_sum 'Cs4 Ca4 Tm4 F24'
_cell_length_a 8.1226
_cell_length_b 8.2478
_cell_length_c 11.6784
_cell_angle_alpha 90.00
_cell_angle_beta 90.00
_cell_angle_gamma 90.00
_space_group_name_H-M_alt 'I m m a'
_space_group_IT_number 74
_space_group_name_Hall '-I 2b 2'
loop_
_atom_site_label
_atom_site_fract_x
_atom_site_fract_y
_atom_site_fract_z
Cs1 0.0000 0.2500 0.0869
Ca1 0.2500 0.2500 0.7500
Tm1 0.0000 0.0000 0.5000
F1 0.0000 0.2500 0.4439
F2 0.0000 0.2500 0.8310
F3 0.1900 0.0508 0.6208

5.
# PBE Cu2TcAs2, relaxed
# Total energy: -5.4313 eV per atom
# Total magnetization: 0.0 μB per cell
# Energy of formation: 0.140 eV per atom
data_Cu2TcAs2
_chemical_formula_sum 'Cu4 Tc2 As4'
_cell_length_a 6.4813
_cell_length_b 6.4813
_cell_length_c 3.5775
_cell_angle_alpha 90.00
_cell_angle_beta 90.00
_cell_angle_gamma 90.00
_space_group_name_H-M_alt 'P 4/m b m'
_space_group_IT_number 127
_space_group_name_Hall '-P 4 2ab'
loop_
_atom_site_label
_atom_site_fract_x
_atom_site_fract_y
_atom_site_fract_z
Cu1 0.1492 0.3508 0.0000
Tc1 0.0000 0.0000 0.5000
As1 0.1481 0.6481 0.5000

6.
# PBE Nd4SmSb2, relaxed
# Formation energy from raw total energies: 0.78 eV per formula unit
# Total energy: -4.4645 eV per atom
# Total magnetization: 2.2 μB per cell
data_Nd4SmSb2
_chemical_formula_sum 'Nd8 Sm2 Sb4'
_cell_length_a 5.4249
_cell_length_b 5.4249
_cell_length_c 17.0021
_cell_angle_alpha 90.00
_cell_angle_beta 90.00
_cell_angle_gamma 90.00
_space_group_name_H-M_alt 'I 4/m m m'
_space_group_IT_number 139
_space_group_name_Hall '-I 4 2'
loop_
_atom_site_label
_atom_site_fract_x
_atom_site_fract_y
_atom_site_fract_z
Nd1 0.0000 0.0000 0.1840
Nd2 0.0000 0.5000 0.0000
Sm1 0.0000 0.0000 0.0000
Sb1 0.0000 0.0000 0.3669

7.
# PBE SmNp2RhN4, relaxed
# Formation energy from raw total energies: -7.36 eV per formula unit
# Total energy: -9.8262 eV per atom
# Total magnetization: 17.7 μB per cell
data_SmNp2RhN4
_chemical_formula_sum 'Sm4 Np8 Rh4 N16'
_cell_length_a 3.4583
_cell_length_b 11.3616
_cell_length_c 11.6188
_cell_angle_alpha 90.00
_cell_angle_beta 90.00
_cell_angle_gamma 90.00
_space_group_name_H-M_alt 'C m c m'
_space_group_IT_number 63
_space_group_name_Hall '-C 2c 2'
loop_
_atom_site_label
_atom_site_fract_x
_atom_site_fract_y
_atom_site_fract_z
Sm1 0.0000 0.1082 0.2500
Np1 0.0000 0.3715 0.0565
Rh1 0.0000 0.1541 0.7500
N1 0.0000 0.0000 0.0000
N2 0.0000 0.2678 0.6023
N3 0.0000 0.4570 0.2500

8.
# PBE BaOs3Ru, relaxed
# Total energy: -7.3484 eV per atom
# Total magnetization: 0.0 μB per cell
# Energy of formation: 1.629 eV per atom
data_BaOs3Ru
_chemical_formula_sum 'Ba1 Os3 Ru1'
_cell_length_a 4.8113
_cell_length_b 4.8113
_cell_length_c 4.8113
_cell_angle_alpha 90.00
_cell_angle_beta 90.00
_cell_angle_gamma 90.00
_space_group_name_H-M_alt 'P m -3 m'
_space_group_IT_number 221
_space_group_name_Hall '-P 4 2 3'
loop_
_atom_site_label
_atom_site_fract_x
_atom_site_fract_y
_atom_site_fract_z
Ba1 0.0000 0.0000 0.0000
Os1 0.0000 0.5000 0.5000
Ru1 0.5000 0.5000 0.5000